(1)
Here is a relaxed La3Co4 crystal from Alexandria. Energies are from GGA-PBE.

The structure in extended XYZ format:
```
7
Lattice="-3.1628 1.4070 5.8844 -2.5241 -4.7756 -4.1752 2.2360 -2.8226 1.8767" Properties=species:S:1:pos:R:3 pbc="T T T"
La -1.2620 -2.3878 -2.0876
La -2.8434 -1.6843 0.8546
La -1.5814 0.7035 2.9422
Co 0.5593 -0.7060 0.4694
Co 1.6767 -2.1165 1.4073
Co -1.8319 -2.0651 3.4696
Co -1.6190 -4.1260 0.1164
```

Properties
As for the calculated formation energy: 562 meV/atom. Its magnetic moment is 2.7 μB/cell. For the energy, the calculation gives -5.6102 eV per atom.

(2)
Here is a relaxed LaZrSi3 crystal from Alexandria. Energies are from GGA-PBE.

The structure in extended XYZ format:
```
5
Lattice="-5.1286 -0.0171 0.6320 -0.5660 -2.1780 -4.6517 0.2818 -4.6860 2.1598" Properties=species:S:1:pos:R:3 pbc="T T T"
Si -0.2830 -1.0890 -2.3259
Si 0.1409 -2.3430 1.0799
Si -2.5643 -0.0085 0.3160
Zr -2.7064 -3.4406 -0.9300
La 0.0000 0.0000 0.0000
```

Properties
Its magnetic moment is 0.0 μB/cell. The formation energy from raw total energies is 1322 meV/atom. For the energy, the calculation gives -4.6268 eV per atom.

(3)
Here is a relaxed ScAgBi2 crystal from Alexandria. Energies are from GGA-PBE.

The structure in extended XYZ format:
```
4
Lattice="-2.7526 -2.8506 0.8991 1.1174 -2.3973 -4.1800 3.4628 -2.5843 2.4079" Properties=species:S:1:pos:R:3 pbc="T T T"
Sc 0.9138 -3.9162 -0.4365
Bi 1.7314 -1.2922 1.2039
Bi 0.5587 -1.1987 -2.0900
Ag -1.3763 -1.4253 0.4495
```

Properties
As for the calculated formation energy: -245 meV/atom. Its magnetic moment is 0.0 μB/cell. For the energy, the calculation gives -4.4813 eV per atom.

(4)
Here is a relaxed Cs2RbNpI8 crystal from Alexandria. Energies are from GGA-PBE.

The structure in extended XYZ format:
```
12
Lattice="7.2317 -1.1515 -0.0124 -1.3435 8.5718 0.0060 -0.0086 0.0296 11.5180" Properties=species:S:1:pos:R:3 pbc="T T T"
Cs 2.9606 3.7150 8.6353
Cs 2.9190 3.7348 2.8762
Rb -0.0043 0.0148 5.7590
Np 0.0000 0.0000 0.0000
I -0.5978 6.6331 2.1505
I 3.1698 6.2862 11.4960
I 6.4704 0.7746 2.1379
I 6.4773 0.8167 9.3611
I 2.7097 1.1636 0.0155
I -0.5909 6.6752 9.3736
I 2.4705 6.1028 5.7671
I 3.4091 1.3470 5.7445
```

Properties
Its magnetic moment is 2.0 μB/cell. The formation energy from raw total energies is -1048 meV/atom. For the energy, the calculation gives -3.3832 eV per atom.